1.
First-principles (PBE-GGA) data for KTbAlTe3 after structural relaxation, as listed in OQMD.

Final energy (eV per atom): -4.055
Total magnetic moment (Bohr magnetons per cell): 0.092
Calculated volume (Å³ per cell): 793.0
Crystal system: orthorhombic

Cell lengths 12.129, 4.951, 13.207 Å; angles 90.00, 90.00, 90.00 degrees
Atoms (fractional coordinates):
Al (0.261, 0.750, 0.222)
Al (0.761, 0.750, 0.278)
Al (0.239, 0.250, 0.722)
Al (0.739, 0.250, 0.778)
K (0.183, 0.250, 0.008)
K (0.683, 0.250, 0.492)
K (0.317, 0.750, 0.508)
K (0.817, 0.750, 0.992)
Tb (0.525, 0.250, 0.178)
Tb (0.025, 0.250, 0.322)
Tb (0.975, 0.750, 0.678)
Tb (0.475, 0.750, 0.822)
Te (0.407, 0.750, 0.064)
Te (0.049, 0.750, 0.165)
Te (0.788, 0.250, 0.196)
Te (0.288, 0.250, 0.304)
Te (0.549, 0.750, 0.335)
Te (0.907, 0.750, 0.436)
Te (0.093, 0.250, 0.564)
Te (0.451, 0.250, 0.665)
Te (0.712, 0.750, 0.696)
Te (0.212, 0.750, 0.804)
Te (0.951, 0.250, 0.835)
Te (0.593, 0.250, 0.936)



2.
First-principles (PBE-GGA) data for KTbAlTe3 after structural relaxation, as listed in OQMD.

Final energy (eV per atom): -4.072
Total magnetic moment (Bohr magnetons per cell): 0.103
Calculated volume (Å³ per cell): 428.9
Crystal system: orthorhombic

Cell lengths 7.996, 7.996, 11.681 Å; angles 90.00, 90.00, 144.94 degrees
Atoms (fractional coordinates):
Al (0.518, 0.482, 0.250)
Al (0.482, 0.518, 0.750)
K (0.249, 0.751, 0.250)
K (0.751, 0.249, 0.750)
Tb (0.000, 0.000, 0.000)
Tb (0.000, 0.000, 0.500)
Te (0.627, 0.373, 0.066)
Te (0.931, 0.069, 0.250)
Te (0.627, 0.373, 0.434)
Te (0.373, 0.627, 0.566)
Te (0.069, 0.931, 0.750)
Te (0.373, 0.627, 0.934)



3.
First-principles (PBE-GGA) data for KAlTc after structural relaxation, as listed in OQMD.

Final energy (eV per atom): -3.054
Total magnetic moment (Bohr magnetons per cell): 3.219
Calculated volume (Å³ per cell): 89.3
Crystal system: cubic

Cell lengths 5.017, 5.017, 5.017 Å; angles 60.00, 60.00, 60.00 degrees
Atoms (fractional coordinates):
Al (0.250, 0.250, 0.250)
K (0.000, 0.000, 0.000)
Tc (0.750, 0.750, 0.750)



4.
First-principles (PBE-GGA) data for KAlTc after structural relaxation, as listed in OQMD.

Final energy (eV per atom): -3.689
Total magnetic moment (Bohr magnetons per cell): 2.292
Calculated volume (Å³ per cell): 77.3
Crystal system: cubic

Cell lengths 4.781, 4.781, 4.781 Å; angles 60.00, 60.00, 60.00 degrees
Last column: magnetic moment on the atom in μB.
Atoms (fractional coordinates):
Al (0.000, 0.000, 0.000)  -0.08
K (0.500, 0.500, 0.500)  0.02
Tc (0.250, 0.250, 0.250)  2.20